i:
Computed, not measured: an optimized crystal structure of La2ZnTe2 at the PBE level of DFT.

```
La2ZnTe2
1.0
-4.0570 -3.3318 -6.9236
0.7826 -7.9679 3.3758
-3.6348 0.4530 1.9119
Te La Zn
4 4 2
direct
0.1436 0.3564 0.0000
0.6436 0.1436 0.0000
0.3564 0.8564 0.0000
0.8564 0.6436 0.0000
0.3440 0.1560 0.5000
0.1560 0.6560 0.5000
0.6560 0.8440 0.5000
0.8440 0.3440 0.5000
0.0000 0.0000 0.0000
0.5000 0.5000 0.0000
```

Values from the calculation:
The density of states at the Fermi level comes out at 5.434 states/eV/cell.

---

ii:
Computed, not measured: an optimized crystal structure of La2ZnTe2 at the PBE level of DFT.

```
La2ZnTe2
1.0
-2.5926 2.5837 7.7928
2.2377 -7.6403 3.2776
3.9100 1.4911 0.8064
Te Zn La
4 2 4
direct
0.6483 0.8517 0.5000
0.1483 0.6483 0.5000
0.8517 0.3517 0.5000
0.3517 0.1483 0.5000
0.5000 0.5000 0.0000
0.0000 0.0000 0.0000
0.1550 0.3451 0.0000
0.3451 0.8450 0.0000
0.8450 0.6550 0.0000
0.6550 0.1550 0.0000
```

Values from the calculation:
The density of states at the Fermi level comes out at 7.272 states/eV/cell.

---

Quick one: least stable of them? i